Below is BC3 after structural relaxation, with properties calculated at the PBE level. Values from VASP.

```
&SYSTEM
  ibrav = 0, nat = 8, ntyp = 2
/
ATOMIC_SPECIES
C 12.01 C.upf
B 10.81 B.upf
ATOMIC_POSITIONS angstrom
C -2.2220 6.1622 -0.6564
C -8.2964 23.0079 -2.4508
C -3.8890 10.7851 -1.1488
B -6.5888 18.2724 -1.9463
C -8.8205 24.4614 -2.6056
B -4.4210 12.2605 -1.3060
C -6.0438 16.7609 -1.7853
C -1.7171 4.7619 -0.5072
CELL_PARAMETERS angstrom
-2.8234 8.0617 -2.3395
-4.2096 7.7893 -0.2039
-1.8088 8.6694 -0.0684
```

## Properties
ΔE_f in eV/atom: 0.313
Space-group type: R3m, No. 160
Distance to the lowest polymorph of the same formula in meV per atom: 72
Volume in Å³/cell: 49.6

Below is Li2InSi after structural relaxation, with properties calculated at the PBE level. Values from VASP.

```
&SYSTEM
  ibrav = 0, nat = 4, ntyp = 3
/
ATOMIC_SPECIES
Li 6.94 Li.upf
In 114.82 In.upf
Si 28.09 Si.upf
ATOMIC_POSITIONS angstrom
Li 0.0000 0.0000 4.0621
In 1.3920 1.4133 6.4678
Si 1.3920 1.4133 2.1559
Li 0.0000 0.0000 0.2497
CELL_PARAMETERS angstrom
2.8526 -0.0252 0.0000
-0.0685 2.8518 0.0000
0.0000 0.0000 8.6237
```

## Properties
Space-group type: Cmmm, No. 65
Energy relative to the elements, uncorrected in eV per atom: -0.1265
Volume in Å³/cell: 70.1

Below is SrHoHg after structural relaxation, with properties calculated at the PBE level. Values from VASP.

```
&SYSTEM
  ibrav = 0, nat = 3, ntyp = 3
/
ATOMIC_SPECIES
Ho 164.93 Ho.upf
Hg 200.59 Hg.upf
Sr 87.62 Sr.upf
ATOMIC_POSITIONS angstrom
Ho -0.5263 3.9190 -0.2454
Hg -2.8406 2.0776 -1.1499
Sr -0.0328 0.2443 -0.0153
CELL_PARAMETERS angstrom
-1.4992 -0.4223 -3.5287
-3.5167 -0.3759 1.5391
1.6163 7.0390 0.5789
```

## Properties
ΔE_f in eV/atom: -0.267
Space-group type: I4mm, No. 107
Distance to the lowest polymorph of the same formula in meV per atom: 45
Volume in Å³/cell: 99.9

Below is Ba2SnRuN after structural relaxation, with properties calculated at the PBE level. Values from VASP.

```
&SYSTEM
  ibrav = 0, nat = 5, ntyp = 4
/
ATOMIC_SPECIES
Ru 101.07 Ru.upf
N 14.01 N.upf
Ba 137.33 Ba.upf
Sn 118.71 Sn.upf
ATOMIC_POSITIONS angstrom
Ru 0.0000 0.0000 1.9102
N 0.0000 0.0000 0.0000
Ba 2.9986 0.0000 0.0000
Sn 2.9986 2.9986 1.9102
Ba 0.0000 2.9986 0.0000
CELL_PARAMETERS angstrom
5.9972 0.0000 0.0000
0.0000 5.9972 0.0000
0.0000 0.0000 3.8205
```

## Properties
Space-group type: P4/mmm, No. 123
Distance to the lowest polymorph of the same formula in meV per atom: 0
Energy relative to the elements, uncorrected in eV per atom: -0.3164
Volume in Å³/cell: 137.4

Below is Rb3Sn2I7 after structural relaxation, with properties calculated at the PBE level. Values from VASP.

```
&SYSTEM
  ibrav = 0, nat = 12, ntyp = 3
/
ATOMIC_SPECIES
I 126.90 I.upf
Rb 85.47 Rb.upf
Sn 118.71 Sn.upf
ATOMIC_POSITIONS angstrom
I 0.0000 0.0000 0.0000
Rb 3.1279 3.1279 5.4913
Rb 3.1279 3.1279 0.0000
Sn 3.1279 3.1279 12.2352
Sn 0.0000 0.0000 3.2149
I 3.1279 0.0000 12.3823
I 3.1279 0.0000 3.0678
I 0.0000 3.1279 12.3823
I 0.0000 3.1279 3.0678
Rb 0.0000 0.0000 9.9588
I 0.0000 0.0000 6.2976
I 3.1279 3.1279 9.1525
CELL_PARAMETERS angstrom
6.2559 0.0000 0.0000
0.0000 6.2559 0.0000
-3.1279 -3.1279 15.4501
```

## Properties
Space-group type: I4/mmm, No. 139
Energy relative to the elements, uncorrected in eV per atom: -0.9805
Volume in Å³/cell: 604.7

Below is La2AlHgRh after structural relaxation, with properties calculated at the PBE level. Values from VASP.

```
&SYSTEM
  ibrav = 0, nat = 5, ntyp = 4
/
ATOMIC_SPECIES
Rh 102.91 Rh.upf
Al 26.98 Al.upf
La 138.91 La.upf
Hg 200.59 Hg.upf
ATOMIC_POSITIONS angstrom
Rh 0.0000 0.0000 0.0000
Al 0.0000 0.0000 2.3877
La 0.0000 2.7668 0.0000
Hg 2.7668 2.7668 2.3877
La 2.7668 0.0000 0.0000
CELL_PARAMETERS angstrom
5.5337 0.0000 0.0000
0.0000 5.5337 0.0000
0.0000 0.0000 4.7754
```

## Properties
ΔE_f in eV/atom: -0.509
Space-group type: P4/mmm, No. 123
Volume in Å³/cell: 146.2

Below is NbAs2Ir after structural relaxation, with properties calculated at the PBE level. Values from VASP.

```
&SYSTEM
  ibrav = 0, nat = 4, ntyp = 3
/
ATOMIC_SPECIES
Nb 92.91 Nb.upf
As 74.92 As.upf
Ir 192.22 Ir.upf
ATOMIC_POSITIONS angstrom
Nb 0.0000 0.0000 0.0000
As 1.5833 1.5833 1.5833
Ir 3.1667 3.1667 3.1667
As 4.7500 4.7500 4.7500
CELL_PARAMETERS angstrom
0.0000 3.1667 3.1667
3.1667 0.0000 3.1667
3.1667 3.1667 0.0000
```

## Properties
ΔE_f in eV/atom: -0.138
Space-group type: Fm-3m, No. 225
Distance to the lowest polymorph of the same formula in meV per atom: 0
Volume in Å³/cell: 63.5

Below is Na2TlOsBr8 after structural relaxation, with properties calculated at the PBE level. Values from VASP.

```
&SYSTEM
  ibrav = 0, nat = 12, ntyp = 4
/
ATOMIC_SPECIES
Br 79.90 Br.upf
Na 22.99 Na.upf
Os 190.23 Os.upf
Tl 204.38 Tl.upf
ATOMIC_POSITIONS angstrom
Br -1.3857 7.5644 6.5614
Br 2.5760 1.2451 4.1741
Br 1.0344 5.0845 4.1698
Br -1.3872 7.5593 1.7754
Na 1.8050 3.1672 6.2353
Na 1.8054 3.1623 2.1085
Br 4.9975 -1.2298 6.5685
Br 1.3502 5.2110 -0.0064
Br 2.2602 1.1185 8.3502
Os 0.0000 0.0000 0.0000
Br 4.9961 -1.2349 1.7825
Tl 0.0018 0.0047 4.1764
CELL_PARAMETERS angstrom
5.7977 -2.8081 0.0005
-2.1909 9.1282 -0.0094
0.0035 0.0094 8.3527
```

## Properties
Space-group type: P2/m, No. 10
Energy relative to the elements, uncorrected in eV per atom: -0.6984
Volume in Å³/cell: 390.7

Below is SmTm6Tl after structural relaxation, with properties calculated at the PBE level. Values from VASP.

```
&SYSTEM
  ibrav = 0, nat = 8, ntyp = 3
/
ATOMIC_SPECIES
Tm 168.93 Tm.upf
Sm 150.36 Sm.upf
Tl 204.38 Tl.upf
ATOMIC_POSITIONS angstrom
Tm -0.7860 -1.6117 -0.3494
Tm -2.8587 -5.8619 -1.2710
Tm 0.2758 -4.7142 -1.0211
Tm -3.9204 -2.7593 -0.5993
Tm -3.3179 -1.3039 2.4047
Tm 1.4935 -3.5454 1.9211
Sm -1.8234 -4.2930 1.7578
Tl -0.0010 -0.5563 2.5680
CELL_PARAMETERS angstrom
-0.0021 -1.1126 5.1360
-6.6338 -1.4952 -0.3266
2.9891 -5.9783 -1.2938
```

## Properties
ΔE_f in eV/atom: -0.009
Space-group type: Cmmm, No. 65
Distance to the lowest polymorph of the same formula in meV per atom: 53
Volume in Å³/cell: 237.3

Below is UTc3Ge2 after structural relaxation, with properties calculated at the PBE level. Values from VASP.

```
&SYSTEM
  ibrav = 0, nat = 12, ntyp = 3
/
ATOMIC_SPECIES
Tc 98.00 Tc.upf
U 238.03 U.upf
Ge 72.64 Ge.upf
ATOMIC_POSITIONS angstrom
Tc 1.0631 1.8691 1.4795
Tc 0.8874 -2.0777 6.1226
U 0.4993 -1.4853 1.1355
Tc -0.0781 0.5108 3.9797
Tc 1.9266 -3.3680 3.9408
Tc 2.0286 -0.7193 3.6224
U 1.4512 1.2768 6.4665
Tc 0.0239 3.1595 3.6613
Ge -1.2896 1.0314 1.7994
Ge 2.3556 1.9226 3.6921
Ge -0.4051 -2.1311 3.9100
Ge 3.2401 -1.2400 5.8027
CELL_PARAMETERS angstrom
-3.6266 0.3932 2.1091
3.2022 -6.8996 2.5835
2.3749 6.2979 2.9095
```

## Properties
ΔE_f in eV/atom: -0.183
Space-group type: C2/m, No. 12
Volume in Å³/cell: 207.7

Below is Fe2ReSe after structural relaxation, with properties calculated at the PBE level. Values from VASP.

```
&SYSTEM
  ibrav = 0, nat = 8, ntyp = 3
/
ATOMIC_SPECIES
Re 186.21 Re.upf
Fe 55.84 Fe.upf
Se 78.96 Se.upf
ATOMIC_POSITIONS angstrom
Re 0.0000 0.0000 0.0000
Fe -0.5864 0.8183 4.2964
Fe 1.7129 -2.0753 3.5051
Re 0.1877 0.8477 6.4382
Fe 1.9014 -1.2251 9.9367
Fe 2.3318 0.0798 6.4157
Se 2.4921 -2.0489 5.6388
Se -0.4269 -1.3128 3.5262
CELL_PARAMETERS angstrom
-2.7313 1.5838 4.3256
1.8775 -4.2094 2.7267
3.5336 1.4244 5.0247
```

## Properties
Space-group type: I-42d, No. 122
Energy relative to the elements, uncorrected in eV per atom: 0.7541
Volume in Å³/cell: 144.6

Below is Sr2In2Hg7 after structural relaxation, with properties calculated at the PBE level. Values from VASP.

```
&SYSTEM
  ibrav = 0, nat = 11, ntyp = 3
/
ATOMIC_SPECIES
Hg 200.59 Hg.upf
Sr 87.62 Sr.upf
In 114.82 In.upf
ATOMIC_POSITIONS angstrom
Hg -2.9887 -1.9575 3.4212
Hg -1.9540 0.6366 6.1398
Hg -6.2271 -0.9036 1.5257
Hg -1.9704 -2.9354 7.3473
Sr -4.5168 1.0598 3.8291
In -3.7449 -4.0250 1.2110
Sr -3.6808 -4.8988 5.0438
Hg -5.2088 -1.8814 5.4518
Hg -6.2435 -4.4755 2.7332
Hg -2.0473 1.4952 1.3969
In -0.3581 -2.8043 4.8682
CELL_PARAMETERS angstrom
-4.0946 2.9903 2.7938
-5.7065 -4.7320 -0.9071
1.6035 -2.0972 6.9863
```

## Properties
ΔE_f in eV/atom: -0.252
Space-group type: C2/m, No. 12
Distance to the lowest polymorph of the same formula in meV per atom: 0
Volume in Å³/cell: 312.7

Below is NaO5 after structural relaxation, with properties calculated at the PBE level. Values from VASP.

```
&SYSTEM
  ibrav = 0, nat = 12, ntyp = 2
/
ATOMIC_SPECIES
O 16.00 O.upf
Na 22.99 Na.upf
ATOMIC_POSITIONS angstrom
O 0.0000 14.9325 3.0059
O 0.0000 12.1688 6.9352
O 0.0000 7.4244 6.5624
O 0.0000 3.4755 2.5255
Na 0.0000 13.4744 4.8907
O 0.0000 13.9987 -0.1305
O 0.0000 17.9475 3.9064
O 0.0000 6.4906 3.4261
O 0.0000 17.6436 1.8443
O 0.0000 3.7794 4.5876
O 0.0000 9.2542 -0.5032
Na 0.0000 7.9487 1.5412
CELL_PARAMETERS angstrom
1.4279 7.6985 -0.4425
-1.4279 7.6985 -0.4425
0.0000 6.0260 7.3170
```

## Properties
Space-group type: C2/m, No. 12
Distance to the lowest polymorph of the same formula in meV per atom: 306
Energy relative to the elements, uncorrected in eV per atom: -0.0085
Volume in Å³/cell: 168.5

Below is YCoMo2 after structural relaxation, with properties calculated at the PBE level. Values from VASP.

```
&SYSTEM
  ibrav = 0, nat = 4, ntyp = 3
/
ATOMIC_SPECIES
Y 88.91 Y.upf
Co 58.93 Co.upf
Mo 95.94 Mo.upf
ATOMIC_POSITIONS angstrom
Y 1.6410 0.0000 2.4434
Co 0.0000 2.1361 2.4434
Mo 0.0000 0.0000 0.0000
Mo 1.6410 2.1361 0.0000
CELL_PARAMETERS angstrom
3.2821 0.0000 0.0000
0.0000 4.2722 0.0000
0.0000 0.0000 4.8868
```

## Properties
ΔE_f in eV/atom: 0.330
Space-group type: Pmmm, No. 47
Distance to the lowest polymorph of the same formula in meV per atom: 133
Volume in Å³/cell: 68.5

Below is AsPbSe2 after structural relaxation, with properties calculated at the PBE level. Values from VASP.

```
&SYSTEM
  ibrav = 0, nat = 4, ntyp = 3
/
ATOMIC_SPECIES
As 74.92 As.upf
Pb 207.20 Pb.upf
Se 78.96 Se.upf
ATOMIC_POSITIONS angstrom
As 5.5379 1.3212 0.7917
Pb 16.6136 3.9636 2.3752
Se 11.3899 2.7173 1.6284
Se 21.8374 5.2098 3.1221
CELL_PARAMETERS angstrom
7.9893 -0.1058 -0.0634
7.0811 3.7012 -0.0634
7.0811 1.6894 3.2938
```

## Properties
Space-group type: R-3m, No. 166
Distance to the lowest polymorph of the same formula in meV per atom: 53
Energy relative to the elements, uncorrected in eV per atom: -0.1408
Volume in Å³/cell: 101.7

Below is Cs2Ce2YSe6 after structural relaxation, with properties calculated at the PBE level. Values from VASP.

```
&SYSTEM
  ibrav = 0, nat = 11, ntyp = 4
/
ATOMIC_SPECIES
Y 88.91 Y.upf
Ce 140.12 Ce.upf
Cs 132.91 Cs.upf
Se 78.96 Se.upf
ATOMIC_POSITIONS angstrom
Y 4.2159 0.2098 1.3874
Ce 2.9921 4.3073 1.1994
Cs -2.7310 0.5455 4.9289
Se -0.4920 3.4699 4.9269
Ce 1.9886 1.9424 4.6062
Se 1.7521 1.7010 1.6969
Se 0.5082 5.8269 1.5316
Se 3.2287 4.5487 4.1087
Se 5.4727 2.7798 0.8787
Se 4.4726 0.4228 4.2740
Cs -0.7200 5.2847 -1.8982
CELL_PARAMETERS angstrom
-0.2168 6.4706 -3.6066
-3.2342 -0.6405 6.6372
8.4317 0.4195 2.7749
```

## Properties
Space-group type: C2/m, No. 12
Energy relative to the elements, uncorrected in eV per atom: -1.7281
Volume in Å³/cell: 406.6

Below is ZrTl2Ir after structural relaxation, with properties calculated at the PBE level. Values from VASP.

```
&SYSTEM
  ibrav = 0, nat = 4, ntyp = 3
/
ATOMIC_SPECIES
Tl 204.38 Tl.upf
Zr 91.22 Zr.upf
Ir 192.22 Ir.upf
ATOMIC_POSITIONS angstrom
Tl 10.7665 3.1025 0.2294
Tl 6.7788 1.9534 2.3229
Zr 9.9298 2.8614 3.6114
Ir 3.3099 0.9538 1.2038
CELL_PARAMETERS angstrom
5.9100 0.0219 0.0723
5.0154 3.1264 0.0723
2.3143 0.6669 4.6705
```

## Properties
ΔE_f in eV/atom: 0.136
Space-group type: C2/m, No. 12
Distance to the lowest polymorph of the same formula in meV per atom: 254
Volume in Å³/cell: 85.2